1.
A relaxed structure of TmH6Pd8, computed with PBE.

Geometry as extended XYZ:
```
15
Lattice="2.568 1.483 7.154 -2.568 1.483 7.154 0.000 -2.965 7.154" Properties=species:S:1:pos:R:3 pbc="T T T"
Tm 0.000 0.000 0.000
H -0.862 -1.434 8.861
H -1.673 0.029 12.599
H -0.811 1.464 8.861
H 0.811 -1.464 12.599
H 1.673 -0.029 8.861
H 0.862 1.434 12.599
Pd -1.726 -0.002 9.545
Pd -0.862 -1.496 11.916
Pd 0.000 0.000 7.178
Pd 0.865 -1.494 9.545
Pd -0.865 1.494 11.916
Pd 0.000 0.000 14.282
Pd 0.862 1.496 9.545
Pd 1.726 0.002 11.916
```

2.
A relaxed structure of V2ReAu, computed with PBE.

Output
ΔE to the lowest computed polymorph in meV/atom: 0
Formation energy in eV/atom: -0.07

Geometry as extended XYZ:
```
4
Lattice="3.146 0.000 0.000 0.000 3.146 0.000 0.000 0.000 6.027" Properties=species:S:1:pos:R:3 pbc="T T T"
V 0.000 0.000 1.374
V 0.000 0.000 4.652
Re 1.573 1.573 0.000
Au 1.573 1.573 3.013
```

3.
A relaxed structure of NaGa2H6, computed with PBE.

Output
ΔE to the lowest computed polymorph in meV/atom: 0

Geometry as extended XYZ:
```
9
Lattice="3.357 0.000 0.000 -1.653 4.330 0.000 -0.031 -1.365 6.882" Properties=species:S:1:pos:R:3 pbc="T T T"
Na 0.000 0.000 0.000
Ga -0.028 2.428 3.797
Ga 1.701 0.536 3.086
H 0.011 2.560 0.430
H 0.011 2.426 1.180
H -0.019 2.369 5.458
H 1.692 0.596 1.424
H 1.663 0.538 5.702
H 1.663 0.405 6.453
```

4.
A relaxed structure of Mg2SiAu, computed with PBE.

Output
ΔE_f (raw) in eV/atom: -0.028

Geometry as extended XYZ:
```
4
Lattice="0.000 3.311 3.311 3.311 0.000 3.311 3.311 3.311 0.000" Properties=species:S:1:pos:R:3 pbc="T T T"
Mg 0.000 0.000 0.000
Mg 1.656 1.656 1.656
Si 4.967 4.967 4.967
Au 3.311 3.311 3.311
```

5.
A relaxed structure of CsMgBiCl6, computed with PBE.

Output
ΔE_f (raw) in eV/atom: -1.547

Geometry as extended XYZ:
```
9
Lattice="6.931 0.000 0.000 -3.465 6.002 0.000 0.000 0.000 7.771" Properties=species:S:1:pos:R:3 pbc="T T T"
Cs 0.000 0.000 0.000
Mg 0.000 4.002 3.885
Bi 3.466 2.001 3.885
Cl -1.196 2.328 5.386
Cl -2.047 3.803 2.385
Cl 1.196 2.328 2.385
Cl -0.851 5.874 5.386
Cl 2.047 3.803 5.386
Cl 0.851 5.874 2.385
```

6.
A relaxed structure of HfCoSeS2, computed with PBE.

Output
ΔE_f (raw) in eV/atom: -0.056

Geometry as extended XYZ:
```
5
Lattice="4.365 0.000 0.000 0.000 4.365 0.000 0.000 0.000 4.623" Properties=species:S:1:pos:R:3 pbc="T T T"
Hf 0.000 0.000 0.000
Co 2.183 2.183 2.312
Se 2.183 2.183 0.000
S 0.000 2.183 2.312
S 2.183 0.000 2.312
```

Calculated calculated total energy, -70.43, -34.23, -27.50, -12.00, -31.33, -29.08 eV/cell (same order as the records).
Calculated M_tot, 0.0000, 0.0001, 0.0000, 0.0000, 0.0000, 0.0000 μB/atom (same order as the records).